1.
A plane-wave DFT calculation with PBE-GGA was carried out for LaSm2DyTm4 after structural relaxation.

```
16
Lattice="10.1600 0.2594 0.1275 -0.1914 9.1654 -3.8022 -4.9921 -7.3582 8.4112" Properties=species:S:1:pos:R:3 pbc="T T T"
La 2.4873 1.0324 2.3645
La 4.9749 2.0662 4.7338
Sm 5.0810 0.1298 0.0659
Sm 2.5844 -3.5489 4.2724
Sm 7.4720 5.7453 0.5282
Sm -0.0090 -2.6458 6.5727
Dy -0.0946 4.5830 -1.8995
Dy -2.5906 0.9038 2.3070
Tm -2.5922 -0.4460 5.5841
Tm 5.0921 -1.2156 3.3559
Tm -0.1167 3.2810 1.3809
Tm 7.5673 2.5107 -0.8460
Tm 7.4745 7.0568 -2.7333
Tm 4.9956 3.4099 1.4388
Tm -0.0181 -1.3418 3.2974
Tm -2.4965 -4.9878 7.4684
```

Summary:
Formation enthalpy at 0 K, meV/atom: 21

=====

2.
A plane-wave DFT calculation with PBE-GGA was carried out for HgP2Ru after structural relaxation.

```
4
Lattice="9.3627 0.2239 0.1323 8.8186 3.1532 0.1323 8.8186 1.6380 2.6976" Properties=species:S:1:pos:R:3 pbc="T T T"
Hg 20.6430 3.8344 2.2647
P 26.2360 4.8733 2.8783
P 6.5775 1.2217 0.7216
Ru 14.0437 2.6086 1.5407
```

Summary:
Formation enthalpy at 0 K, meV/atom: 212

=====

3.
A plane-wave DFT calculation with PBE-GGA was carried out for BaFeNiCl2 after structural relaxation.

```
5
Lattice="-0.4013 -4.6178 1.0742 2.1310 -1.3519 -5.0153 4.3837 0.0493 1.8493" Properties=species:S:1:pos:R:3 pbc="T T T"
Ni 0.0000 0.0000 0.0000
Cl 2.1918 0.0246 0.9247
Cl -0.2007 -2.3089 0.5371
Ba 1.0655 -0.6759 -2.5076
Fe 3.0567 -2.9602 -1.0459
```

Summary:
ΔE_f (raw), meV per atom: 72

=====

4.
A plane-wave DFT calculation with PBE-GGA was carried out for Pr5HgGe2 after structural relaxation.

```
16
Lattice="7.2126 0.0000 -3.4047 -1.6072 7.0312 -3.4047 -0.0108 -0.0136 9.3190" Properties=species:S:1:pos:R:3 pbc="T T T"
Pr 2.7098 4.8204 2.5371
Pr 4.3018 6.8174 -3.4323
Pr 0.0000 0.0000 0.0000
Pr 2.8027 3.5156 -3.4047
Pr 1.2927 0.2002 5.9418
Pr 4.6465 1.3048 3.7046
Pr -0.6440 3.7158 4.7743
Pr 0.9480 5.7128 -1.1950
Pr 6.2385 3.3018 -2.2648
Pr 2.8847 2.1972 -0.0276
Hg 4.1986 5.2666 -0.4476
Hg 1.3959 1.7510 2.9571
Ge 0.3106 2.6274 -1.7024
Ge 4.3144 0.8882 -2.5626
Ge 1.2910 6.1430 -4.2469
Ge 5.2948 4.4038 -5.1071
```

Summary:
Formation enthalpy at 0 K, meV/atom: -569

=====

| no. | E_tot (eV/atom) | DOS at the Fermi energy (states/eV/f.u.) |
| --- | --- | --- |
| 1 | -4.59 | 10.2 |
| 2 | -4.89 | 2.5 |
| 3 | -3.90 | 4.1 |
| 4 | -4.75 | 8.1 |